Below is a relaxed NaInSe crystal, with properties calculated at the PBE level.

Cell and atoms, written as POSCAR:
```
NaInSe
1.0
5.976 0.000 0.000
0.000 4.103 0.000
0.000 -2.051 3.553
Na In Se
1 1 1
Cartesian
3.684 0.000 2.369
0.353 0.000 0.000
1.939 2.051 1.184
```

Output
ΔE to the lowest computed polymorph = 6 meV/atom
Total energy = -3.158 eV/atom
Formation energy from raw total energies = -0.644 eV per atom


Below is a relaxed NaIn5Se8 crystal, with properties calculated at the PBE level.

Cell and atoms, written as POSCAR:
```
NaIn5Se8
1.0
7.123 0.000 4.113
2.374 6.716 4.113
0.000 0.000 8.225
In Se Na
5 8 1
Cartesian
5.867 4.149 6.287
4.749 0.985 8.225
5.867 4.149 10.163
0.000 0.000 0.000
2.511 4.149 8.225
4.749 5.689 8.225
3.650 2.581 10.128
4.938 5.809 12.338
8.216 5.809 10.445
8.216 5.809 14.230
3.650 2.581 6.322
7.123 2.719 12.338
6.946 2.581 8.225
2.374 1.679 4.113
```

Output
Total energy = -3.634 eV/atom
Formation energy from raw total energies = -0.571 eV per atom